# LiAcMg2Tl2

An optimized crystal structure of LiAcMg2Tl2 (PBE, the Alexandria database).

Results
As for the volume: 162.1 Å³/cell. The density of states at the Fermi level comes out at 4.057 states/eV/cell. As for the total energy: -2.57 eV/atom. For the energy of formation from the pure elements, the calculation gives -0.249 eV per atom.

abc: 4.9162 4.9162 7.7428
angles: 90.00 90.00 120.00
Atoms (fractional coordinates):
Li1 0.0000 0.0000 0.0000
Ac1 0.0000 0.0000 0.5000
Mg1 0.3333 0.6667 0.1529
Mg2 0.6667 0.3333 0.8471
Tl1 0.3333 0.6667 0.7561
Tl2 0.6667 0.3333 0.2439

# LiAcMgTl3

An optimized crystal structure of LiAcMgTl3 (PBE, the Alexandria database).

Results
As for the volume: 350.0 Å³/cell. The density of states at the Fermi level comes out at 8.473 states/eV/cell. As for the total energy: -2.52 eV/atom. For the energy of formation from the pure elements, the calculation gives -0.065 eV per atom.

abc: 7.7773 7.7773 7.1275
angles: 90.00 90.00 125.72
Atoms (fractional coordinates):
Li1 0.0607 0.9393 0.7500
Li2 0.9393 0.0607 0.2500
Ac1 0.3024 0.6976 0.7500
Ac2 0.6976 0.3024 0.2500
Mg1 0.3643 0.6357 0.2500
Mg2 0.6357 0.3643 0.7500
Tl1 0.1520 0.8480 0.2500
Tl2 0.2750 0.2750 0.0000
Tl3 0.2750 0.2750 0.5000
Tl4 0.7250 0.7250 0.0000
Tl5 0.7250 0.7250 0.5000
Tl6 0.8480 0.1520 0.7500

# Li3Ac2Mg12Tl

An optimized crystal structure of Li3Ac2Mg12Tl (PBE, the Alexandria database).

Results
As for the volume: 538.9 Å³/cell. The density of states at the Fermi level comes out at 13.201 states/eV/cell. As for the total energy: -1.72 eV/atom. For the energy of formation from the pure elements, the calculation gives 0.251 eV per atom.

abc: 9.6076 9.6076 9.6076
angles: 53.98 53.98 53.98
Atoms (fractional coordinates):
Li1 0.0000 0.5000 0.5000
Li2 0.5000 0.0000 0.5000
Li3 0.5000 0.5000 0.0000
Ac1 0.0793 0.0793 0.0793
Ac2 0.9207 0.9207 0.9207
Mg1 0.0453 0.6735 0.6735
Mg2 0.2852 0.2852 0.6342
Mg3 0.2852 0.6342 0.2852
Mg4 0.3265 0.3265 0.9547
Mg5 0.3265 0.9547 0.3265
Mg6 0.3658 0.7148 0.7148
Mg7 0.6342 0.2852 0.2852
Mg8 0.6735 0.0453 0.6735
Mg9 0.6735 0.6735 0.0453
Mg10 0.7148 0.3658 0.7148
Mg11 0.7148 0.7148 0.3658
Mg12 0.9547 0.3265 0.3265
Tl1 0.5000 0.5000 0.5000

# Li3Ac2MgTl4

An optimized crystal structure of Li3Ac2MgTl4 (PBE, the Alexandria database).

Results
As for the volume: 264.9 Å³/cell. The density of states at the Fermi level comes out at 6.754 states/eV/cell. As for the total energy: -2.78 eV/atom. For the energy of formation from the pure elements, the calculation gives -0.281 eV per atom.

abc: 4.8618 4.8618 11.2062
angles: 90.00 90.00 90.00
Atoms (fractional coordinates):
Li1 0.0000 0.0000 0.0000
Li2 0.0000 0.5000 0.6212
Li3 0.5000 0.0000 0.3788
Ac1 0.0000 0.5000 0.2507
Ac2 0.5000 0.0000 0.7493
Mg1 0.5000 0.5000 0.0000
Tl1 0.0000 0.0000 0.5000
Tl2 0.0000 0.5000 0.8580
Tl3 0.5000 0.0000 0.1420
Tl4 0.5000 0.5000 0.5000

# Li2AcMg2Tl2

An optimized crystal structure of Li2AcMg2Tl2 (PBE, the Alexandria database).

Results
As for the volume: 178.8 Å³/cell. The density of states at the Fermi level comes out at 3.875 states/eV/cell. As for the total energy: -2.51 eV/atom. For the energy of formation from the pure elements, the calculation gives -0.243 eV per atom.

abc: 9.2262 9.2262 9.2262
angles: 30.45 30.45 30.45
Atoms (fractional coordinates):
Li1 0.0646 0.0646 0.0646
Li2 0.9354 0.9354 0.9354
Ac1 0.5000 0.5000 0.5000
Mg1 0.3619 0.3619 0.3619
Mg2 0.6381 0.6381 0.6381
Tl1 0.2467 0.2467 0.2467
Tl2 0.7533 0.7533 0.7533

# Li2AcMgZn4

An optimized crystal structure of Li2AcMgZn4 (PBE, the Alexandria database).

Results
As for the volume: 165.0 Å³/cell. The density of states at the Fermi level comes out at 5.726 states/eV/cell. As for the total energy: -1.99 eV/atom. For the energy of formation from the pure elements, the calculation gives -0.161 eV per atom.

abc: 9.9008 9.9008 9.9008
angles: 26.06 26.06 26.06
Atoms (fractional coordinates):
Li1 0.2286 0.2286 0.2286
Li2 0.7714 0.7714 0.7714
Ac1 0.0000 0.0000 0.0000
Mg1 0.5000 0.5000 0.5000
Zn1 0.1181 0.1181 0.1181
Zn2 0.4059 0.4059 0.4059
Zn3 0.5941 0.5941 0.5941
Zn4 0.8819 0.8819 0.8819

# LiAcMgZn2

An optimized crystal structure of LiAcMgZn2 (PBE, the Alexandria database).

Results
As for the volume: 238.0 Å³/cell. The density of states at the Fermi level comes out at 7.359 states/eV/cell. As for the total energy: -2.22 eV/atom. For the energy of formation from the pure elements, the calculation gives -0.187 eV per atom.

abc: 4.3258 4.3258 12.7182
angles: 90.00 90.00 90.00
Atoms (fractional coordinates):
Li1 0.0000 0.0000 0.0000
Li2 0.5000 0.5000 0.5000
Ac1 0.0000 0.5000 0.2500
Ac2 0.5000 0.0000 0.7500
Mg1 0.0000 0.0000 0.5000
Mg2 0.5000 0.5000 0.0000
Zn1 0.0000 0.5000 0.6414
Zn2 0.0000 0.5000 0.8586
Zn3 0.5000 0.0000 0.1414
Zn4 0.5000 0.0000 0.3586

# LiAcMgZn

An optimized crystal structure of LiAcMgZn (PBE, the Alexandria database).

Results
As for the volume: 399.9 Å³/cell. The density of states at the Fermi level comes out at 8.762 states/eV/cell. As for the total energy: -2.36 eV/atom. For the energy of formation from the pure elements, the calculation gives -0.135 eV per atom.

abc: 7.3675 7.3675 7.3675
angles: 90.00 90.00 90.00
Atoms (fractional coordinates):
Li1 0.0000 0.0000 0.0000
Li2 0.0000 0.5000 0.5000
Li3 0.5000 0.0000 0.5000
Li4 0.5000 0.5000 0.0000
Ac1 0.2500 0.2500 0.2500
Ac2 0.2500 0.7500 0.7500
Ac3 0.7500 0.2500 0.7500
Ac4 0.7500 0.7500 0.2500
Mg1 0.2500 0.2500 0.7500
Mg2 0.2500 0.7500 0.2500
Mg3 0.7500 0.2500 0.2500
Mg4 0.7500 0.7500 0.7500
Zn1 0.0000 0.0000 0.5000
Zn2 0.0000 0.5000 0.0000
Zn3 0.5000 0.0000 0.0000
Zn4 0.5000 0.5000 0.5000

# LiAc2MnN4

An optimized crystal structure of LiAc2MnN4 (PBE, the Alexandria database).

Results
As for the volume: 242.6 Å³/cell. The density of states at the Fermi level comes out at 1.503 states/eV/cell. As for the total energy: -7.20 eV/atom. As for the formation energy (no corrections): -622.1 meV per atom.

abc: 5.7572 5.7572 7.3207
angles: 90.00 90.00 90.00
Atoms (fractional coordinates):
Li1 0.0000 0.0000 0.0000
Li2 0.5000 0.5000 0.5000
Ac1 0.0000 0.5000 0.2500
Ac2 0.0000 0.5000 0.7500
Ac3 0.5000 0.0000 0.2500
Ac4 0.5000 0.0000 0.7500
Mn1 0.0000 0.0000 0.5000
Mn2 0.5000 0.5000 0.0000
N1 0.2248 0.2248 0.5334
N2 0.2248 0.7752 0.4666
N3 0.2752 0.2752 0.0334
N4 0.2752 0.7248 0.9666
N5 0.7248 0.2752 0.9666
N6 0.7248 0.7248 0.0334
N7 0.7752 0.2248 0.4666
N8 0.7752 0.7752 0.5334

# LiAc3Mn2N6

An optimized crystal structure of LiAc3Mn2N6 (PBE, the Alexandria database).

Results
As for the volume: 197.1 Å³/cell. The density of states at the Fermi level comes out at 4.495 states/eV/cell. As for the total energy: -7.64 eV/atom. As for the formation energy (no corrections): -765.0 meV per atom.

abc: 5.8134 5.8134 6.7351
angles: 90.00 90.00 120.00
Atoms (fractional coordinates):
Li1 0.0000 0.0000 0.0000
Ac1 0.0000 0.0000 0.5000
Ac2 0.3333 0.6667 0.1711
Ac3 0.6667 0.3333 0.8289
Mn1 0.3333 0.6667 0.7225
Mn2 0.6667 0.3333 0.2775
N1 0.1711 0.3421 0.7889
N2 0.1711 0.8289 0.7889
N3 0.3421 0.1711 0.2111
N4 0.6579 0.8289 0.7889
N5 0.8289 0.1711 0.2111
N6 0.8289 0.6579 0.2111

Look up the volume of the third one. 538.9 Å³/cell